Record 1
BaOsPb2 | PBE | optimized geometry

Results
V = 28.3 Å³/atom
Final energy = -4.683 eV per atom

Geometry as POSCAR:
```
BaOsPb2
1.0
4.7085 0.0000 0.0000
0.0000 3.6366 0.0004
0.0000 1.3718 6.6120
Pb Os Ba
2 1 1
Direct
0.0000 0.6002 0.5491
0.0000 0.8998 0.9509
0.5000 0.7500 0.7500
0.5000 0.2500 0.2500
```

***

Record 2
BaOsPb2 | PBE | optimized geometry

Results
V = 26.4 Å³/atom
Final energy = -4.781 eV per atom

Geometry as POSCAR:
```
BaOsPb2
1.0
-3.1356 1.5241 -0.0972
0.0398 -0.1405 -3.4847
-3.7960 -7.7921 0.2709
Pb Os Ba
2 1 1
Direct
0.0000 0.0000 0.5597
0.0000 0.0000 0.9403
0.5000 0.5000 0.7500
0.5000 0.5000 0.2500
```

***

Record 3
BaOsPb2 | PBE | optimized geometry

Results
V = 28.2 Å³/atom
Final energy = -4.672 eV per atom

Geometry as POSCAR:
```
BaOsPb2
1.0
-0.9503 3.5083 0.1318
-3.2558 -0.9317 1.3266
3.0763 0.5355 7.9262
Pb Os Ba
2 1 1
Direct
0.0000 0.0000 0.9486
0.5000 0.5000 0.2023
0.5000 0.5000 0.8092
0.0000 0.0000 0.5400
```

***

Record 4
Ba2OsPb | PBE | optimized geometry

Results
V = 29.4 Å³/atom
Final energy = -4.104 eV per atom

Geometry as POSCAR:
```
Ba2OsPb
1.0
-5.3410 0.5706 1.1729
-3.7840 -0.9873 -3.8645
-3.2212 -4.4395 0.3773
Ba Os Pb
2 1 1
Direct
0.0000 0.0000 0.0000
0.2500 0.2500 0.2500
0.5000 0.5000 0.5000
0.7500 0.7500 0.7500
```

***

Record 5
BaOs2Pb | PBE | optimized geometry

Results
V = 29.4 Å³/atom
Final energy = -6.435 eV per atom

Geometry as POSCAR:
```
BaOs2Pb
1.0
4.9758 -0.0351 -0.0435
3.0159 3.9578 -0.0435
2.8043 1.3765 5.9018
Ba Os Pb
1 2 1
Direct
0.2500 0.2500 0.2500
0.0490 0.0490 0.7811
0.4510 0.4510 0.7189
0.7500 0.7500 0.7500
```

***

Record 6
Ba2OsPb | PBE | optimized geometry

Results
V = 44.3 Å³/atom
Final energy = -4.387 eV per atom

Geometry as POSCAR:
```
Ba2OsPb
1.0
11.5602 0.0000 0.0000
0.0000 11.5602 0.0000
5.7801 5.7801 2.6531
Ba Pb Os
4 2 2
Direct
0.3750 0.5400 0.7500
0.8750 0.7100 0.7500
0.4600 0.1250 0.2500
0.2900 0.6250 0.2500
0.0000 0.0000 0.0000
0.7500 0.2500 0.5000
0.5000 0.5000 0.0000
0.2500 0.7500 0.5000
```

***

Record 7
BaOs2Pb | PBE | optimized geometry

Results
V = 21.7 Å³/atom
Final energy = -5.605 eV per atom

Geometry as POSCAR:
```
BaOs2Pb
1.0
3.1526 -0.0107 0.0000
-1.2851 2.8789 0.0000
0.0000 0.0000 9.5589
Pb Os Ba
1 2 1
Direct
0.5000 0.5000 0.2500
0.0000 0.0000 0.0213
0.0000 0.0000 0.4787
0.5000 0.5000 0.7500
```

***

Record 8
BaOsPb | PBE | optimized geometry

Results
V = 29.6 Å³/atom
Final energy = -4.924 eV per atom

Geometry as POSCAR:
```
BaOsPb
1.0
5.0083 0.0000 0.0000
2.5042 4.3373 0.0000
2.5042 1.4458 4.0893
Os Ba Pb
1 1 1
Direct
0.7500 0.7500 0.7500
0.5000 0.5000 0.5000
0.0000 0.0000 0.0000
```

***

Record 9
BaOsPb | PBE | optimized geometry

Results
V = 33.6 Å³/atom
Final energy = -3.985 eV per atom

Geometry as POSCAR:
```
BaOsPb
1.0
5.2233 0.0000 0.0000
2.6116 4.5235 0.0000
2.6116 1.5078 4.2648
Os Pb Ba
1 1 1
Direct
0.0000 0.0000 0.0000
0.5000 0.5000 0.5000
0.7500 0.7500 0.7500
```

***

Record 10
BaOsPb2 | PBE | optimized geometry

Results
V = 29.6 Å³/atom
Final energy = -4.724 eV per atom

Geometry as POSCAR:
```
BaOsPb2
1.0
-1.4144 5.5854 5.4517
-6.1186 2.4363 4.4210
5.1171 -5.3778 -2.7952
Ba Pb Os
1 2 1
Direct
0.5672 0.5672 0.0000
0.9161 0.9161 0.0000
0.2499 0.7499 0.5000
0.7668 0.2668 0.5000
```

***

Record 11
BaOs2Pb | PBE | optimized geometry

Results
V = 21.7 Å³/atom
Final energy = -5.613 eV per atom

Geometry as POSCAR:
```
BaOs2Pb
1.0
-1.7156 -3.9731 3.7662
-1.2188 -0.7904 -5.6929
2.1512 -1.9791 -0.9765
Pb Ba Os
1 1 2
Direct
0.0000 0.5000 0.5000
0.5000 0.5000 0.0000
0.5000 0.0000 0.5000
0.0000 0.0000 0.0000
```

***

Record 12
Ba2OsPb | PBE | optimized geometry

Results
V = 31.5 Å³/atom
Final energy = -4.116 eV per atom

Geometry as POSCAR:
```
Ba2OsPb
1.0
-0.0971 1.9706 4.7513
-1.6606 -4.5097 1.8365
4.5004 -1.3857 0.6667
Ba Pb Os
2 1 1
Direct
0.5000 0.5000 0.0000
0.0000 0.0000 0.0000
0.0000 0.5000 0.5000
0.5000 0.0000 0.5000
```